# 1
This record from Alexandria via LeMat-Bulk describes CaPmAs2Pt2 after structural relaxation. The functional is PBE.

Lattice parameters (Å, degrees): 4.293 4.293 8.190 90.00 90.00 120.00
Positions (direct):
Ca: 0.000 0.000 0.000
Pm: 0.000 0.000 0.500
As: 0.333 0.667 0.258
As: 0.667 0.333 0.742
Pt: 0.333 0.667 0.750
Pt: 0.667 0.333 0.250

## Properties
E_form = -1.13 eV/atom
DOS at the Fermi energy = 3.6 states/eV/f.u.
VASP energy = -0.428 Ry per atom
ρ = 9.2 g/cm3



# 2
This record from Alexandria via LeMat-Bulk describes CaPm2PuAs4 after structural relaxation. The functional is PBE.

Lattice parameters (Å, degrees): 4.222 7.273 7.279 109.25 90.00 90.00
Site moments in Bohr magnetons follow the coordinates.
Positions (direct):
Ca: 0.500 0.500 0.000  -0.02
Pm: 0.500 0.000 0.500  -0.01
Pm: 0.000 0.500 0.500  -0.04
Pu: 0.000 0.000 0.000  4.86
As: 0.500 0.241 0.243  -0.10
As: 0.500 0.759 0.757  -0.10
As: 0.000 0.242 0.754  -0.10
As: 0.000 0.758 0.246  -0.10

## Properties
E_form = -1.25 eV/atom
DOS at the Fermi energy = 14.1 states/eV/f.u.
VASP energy = -0.500 Ry per atom
ρ = 6.9 g/cm3



# 3
This record from Alexandria via LeMat-Bulk describes CaPm2As3Rh4 after structural relaxation. The functional is PBE.

Lattice parameters (Å, degrees): 4.105 4.105 11.507 90.00 90.00 90.00
Positions (direct):
Ca: 0.500 0.500 0.500
Pm: 0.500 0.000 0.229
Pm: 0.000 0.500 0.771
As: 0.000 0.000 0.500
As: 0.500 0.000 0.874
As: 0.000 0.500 0.126
Rh: 0.500 0.500 0.000
Rh: 0.000 0.000 0.000
Rh: 0.500 0.000 0.666
Rh: 0.000 0.500 0.334

## Properties
E_form = -0.89 eV/atom
DOS at the Fermi energy = 3.9 states/eV/f.u.
VASP energy = -0.468 Ry per atom
ρ = 8.3 g/cm3



# 4
This record from Alexandria via LeMat-Bulk describes CaPmAsRh after structural relaxation. The functional is PBE.

Lattice parameters (Å, degrees): 5.020 5.020 5.020 60.00 60.00 60.00
Positions (direct):
As: 0.750 0.750 0.750
Rh: 0.250 0.250 0.250
Ca: 0.000 0.000 0.000
Pm: 0.500 0.500 0.500

## Properties
E_form = -0.74 eV/atom
DOS at the Fermi energy = 3.4 states/eV/f.u.
VASP energy = -0.399 Ry per atom
ρ = 6.7 g/cm3



# 5
This record from Alexandria via LeMat-Bulk describes CaPmAsS after structural relaxation. The functional is PBE.

Lattice parameters (Å, degrees): 4.178 4.178 7.198 73.13 73.13 60.00
Positions (direct):
Ca: 0.750 0.750 0.750
Pm: 0.251 0.251 0.246
As: 0.998 0.998 0.006
S: 0.501 0.501 0.498

## Properties
ΔE_f (raw) = -1.74 eV per atom
DOS at the Fermi energy = 0.0 states/eV/f.u.
VASP energy = -0.414 Ry per atom
ρ = 4.7 g/cm3



# 6
This record from Alexandria via LeMat-Bulk describes Ca3Pm2TaAs6 after structural relaxation. The functional is PBE.

Lattice parameters (Å, degrees): 7.129 7.129 7.277 99.54 99.54 120.10
Positions (direct):
Ca: 0.174 0.826 0.500
Ca: 0.826 0.174 0.500
Ca: 0.500 0.500 0.500
Pm: 0.335 0.665 0.000
Pm: 0.665 0.335 0.000
Ta: 0.000 0.000 0.000
As: 0.923 0.616 0.768
As: 0.775 0.775 0.234
As: 0.077 0.384 0.232
As: 0.616 0.923 0.768
As: 0.225 0.225 0.766
As: 0.384 0.077 0.232

## Properties
E_form = -1.07 eV/atom
DOS at the Fermi energy = 5.5 states/eV/f.u.
VASP energy = -0.417 Ry per atom
ρ = 5.7 g/cm3



# 7
This record from Alexandria via LeMat-Bulk describes CaTb2PmAs4 after structural relaxation. The functional is PBE.

Lattice parameters (Å, degrees): 5.917 5.917 7.259 114.05 114.05 90.00
Positions (direct):
Ca: 0.437 0.437 0.000
Tb: 0.187 0.687 0.500
Tb: 0.687 0.187 0.500
Pm: 0.937 0.937 0.000
As: 0.937 0.437 0.000
As: 0.437 0.937 0.000
As: 0.185 0.185 0.495
As: 0.690 0.690 0.505

## Properties
E_form = -1.36 eV/atom
DOS at the Fermi energy = 4.9 states/eV/f.u.
VASP energy = -0.418 Ry per atom
ρ = 6.4 g/cm3



# 8
This record from Alexandria via LeMat-Bulk describes CaPmTeAs after structural relaxation. The functional is PBE.

Lattice parameters (Å, degrees): 4.362 4.362 7.668 73.48 73.48 60.00
Positions (direct):
Ca: 0.742 0.742 0.773
Pm: 0.260 0.260 0.219
Te: 0.500 0.500 0.500
As: 0.997 0.997 0.008

## Properties
ΔE_f (raw) = -1.51 eV per atom
DOS at the Fermi energy = 0.0 states/eV/f.u.
VASP energy = -0.378 Ry per atom
ρ = 5.4 g/cm3



# 9
This record from Alexandria via LeMat-Bulk describes CaPm2ThAs4 after structural relaxation. The functional is PBE.

Lattice parameters (Å, degrees): 4.264 7.336 7.371 109.25 90.00 90.00
Positions (direct):
Ca: 0.500 0.500 0.000
Pm: 0.500 0.000 0.500
Pm: 0.000 0.500 0.500
Th: 0.000 0.000 0.000
As: 0.500 0.248 0.249
As: 0.500 0.752 0.751
As: 0.000 0.245 0.749
As: 0.000 0.755 0.251

## Properties
E_form = -1.42 eV/atom
DOS at the Fermi energy = 1.0 states/eV/f.u.
VASP energy = -0.449 Ry per atom
ρ = 6.6 g/cm3



# 10
This record from Alexandria via LeMat-Bulk describes CaPmTh2As4 after structural relaxation. The functional is PBE.

Lattice parameters (Å, degrees): 4.266 7.389 7.335 109.60 90.00 90.00
Positions (direct):
Ca: 0.500 0.500 0.000
Pm: 0.000 0.000 0.000
Th: 0.500 0.000 0.500
Th: 0.000 0.500 0.500
As: 0.500 0.250 0.252
As: 0.500 0.750 0.748
As: 0.000 0.248 0.745
As: 0.000 0.752 0.255

## Properties
E_form = -1.42 eV/atom
DOS at the Fermi energy = 1.7 states/eV/f.u.
VASP energy = -0.474 Ry per atom
ρ = 7.2 g/cm3



# 11
This record from Alexandria via LeMat-Bulk describes Ca2PmThAs4 after structural relaxation. The functional is PBE.

Lattice parameters (Å, degrees): 4.286 7.423 7.331 109.78 90.00 90.00
Positions (direct):
Ca: 0.500 0.000 0.500
Ca: 0.000 0.500 0.500
Pm: 0.500 0.500 0.000
Th: 0.000 0.000 0.000
As: 0.500 0.246 0.243
As: 0.500 0.754 0.757
As: 0.000 0.251 0.757
As: 0.000 0.749 0.243

## Properties
E_form = -1.27 eV/atom
DOS at the Fermi energy = 6.9 states/eV/f.u.
VASP energy = -0.413 Ry per atom
ρ = 5.7 g/cm3



# 12
This record from Alexandria via LeMat-Bulk describes CaPmTm2As4 after structural relaxation. The functional is PBE.

Lattice parameters (Å, degrees): 4.140 7.227 7.177 70.74 90.00 90.00
Positions (direct):
Ca: 0.000 0.500 0.500
Pm: 0.500 0.500 0.000
Tm: 0.000 0.000 0.000
Tm: 0.500 0.000 0.500
As: 0.000 0.762 0.747
As: 0.000 0.238 0.253
As: 0.500 0.764 0.244
As: 0.500 0.236 0.756

## Properties
E_form = -1.35 eV/atom
DOS at the Fermi energy = 3.8 states/eV/f.u.
VASP energy = -0.415 Ry per atom
ρ = 6.7 g/cm3



# 13
This record from Alexandria via LeMat-Bulk describes Ca3PmU2As6 after structural relaxation. The functional is PBE.

Lattice parameters (Å, degrees): 7.276 7.276 7.260 99.63 99.63 119.99
Site moments in Bohr magnetons follow the coordinates.
Positions (direct):
Ca: 0.164 0.836 0.500  -0.01
Ca: 0.836 0.164 0.500  -0.01
Ca: 0.500 0.500 0.500  -0.01
Pm: 0.000 0.000 0.000  0.00
U: 0.333 0.667 0.000  1.71
U: 0.667 0.333 0.000  1.71
As: 0.922 0.577 0.768  -0.06
As: 0.732 0.732 0.233  -0.05
As: 0.078 0.423 0.232  -0.06
As: 0.577 0.922 0.768  -0.06
As: 0.268 0.268 0.767  -0.05
As: 0.423 0.078 0.232  -0.06

## Properties
E_form = -1.10 eV/atom
DOS at the Fermi energy = 12.4 states/eV/f.u.
VASP energy = -0.456 Ry per atom
ρ = 6.3 g/cm3



# 14
This record from Alexandria via LeMat-Bulk describes Ca4PmU3As8 after structural relaxation. The functional is PBE.

Lattice parameters (Å, degrees): 8.375 8.387 8.374 119.95 120.00 90.00
Site moments in Bohr magnetons follow the coordinates.
Positions (direct):
Ca: 0.500 0.000 0.000  -0.01
Ca: 0.500 0.000 0.500  -0.01
Ca: 0.000 0.000 0.000  -0.01
Ca: 0.000 0.000 0.500  -0.01
Pm: 0.000 0.500 0.000  0.00
U: 0.500 0.500 0.000  1.81
U: 0.500 0.500 0.500  1.81
U: 0.000 0.500 0.500  1.81
As: 0.249 0.732 0.983  -0.06
As: 0.249 0.732 0.499  -0.06
As: 0.257 0.270 0.513  -0.06
As: 0.734 0.732 0.983  -0.06
As: 0.266 0.268 0.017  -0.06
As: 0.743 0.730 0.487  -0.06
As: 0.751 0.268 0.501  -0.06
As: 0.751 0.268 0.017  -0.06

## Properties
E_form = -1.06 eV/atom
DOS at the Fermi energy = 20.0 states/eV/f.u.
VASP energy = -0.463 Ry per atom
ρ = 6.5 g/cm3



# 15
This record from Alexandria via LeMat-Bulk describes Ca3Pm2UAs6 after structural relaxation. The functional is PBE.

Lattice parameters (Å, degrees): 7.304 7.304 7.286 99.67 99.67 119.98
Positions (direct):
Ca: 0.171 0.829 0.500
Ca: 0.829 0.171 0.500
Ca: 0.500 0.500 0.500
Pm: 0.334 0.666 0.000
Pm: 0.666 0.334 0.000
U: 0.000 0.000 0.000
As: 0.922 0.608 0.765
As: 0.766 0.766 0.233
As: 0.078 0.392 0.235
As: 0.608 0.922 0.765
As: 0.234 0.234 0.767
As: 0.392 0.078 0.235

## Properties
E_form = -1.21 eV/atom
VASP energy = -0.424 Ry per atom
ρ = 5.7 g/cm3



# 16
This record from Alexandria via LeMat-Bulk describes CaPm2Y3As6 after structural relaxation. The functional is PBE.

Lattice parameters (Å, degrees): 4.183 8.374 9.369 103.13 102.90 90.00
Positions (direct):
Ca: 0.500 0.000 0.000
Pm: 0.834 0.670 0.669
Pm: 0.166 0.330 0.331
Y: 0.500 0.500 0.000
Y: 0.834 0.166 0.668
Y: 0.166 0.834 0.332
As: 0.331 0.920 0.662
As: 0.666 0.586 0.331
As: 0.669 0.080 0.338
As: 0.998 0.257 0.996
As: 0.002 0.743 0.004
As: 0.334 0.414 0.669

## Properties
E_form = -1.44 eV/atom
DOS at the Fermi energy = 4.5 states/eV/f.u.
VASP energy = -0.466 Ry per atom
ρ = 5.6 g/cm3



# 17
This record from Alexandria via LeMat-Bulk describes CaPm2YAs4 after structural relaxation. The functional is PBE.

Lattice parameters (Å, degrees): 4.212 7.275 7.325 70.48 90.00 90.00
Positions (direct):
Ca: 0.500 0.500 0.000
Pm: 0.000 0.000 0.000
Pm: 0.500 0.000 0.500
Y: 0.000 0.500 0.500
As: 0.000 0.750 0.745
As: 0.000 0.250 0.255
As: 0.500 0.746 0.255
As: 0.500 0.254 0.745

## Properties
E_form = -1.36 eV/atom
DOS at the Fermi energy = 4.4 states/eV/f.u.
VASP energy = -0.436 Ry per atom
ρ = 5.6 g/cm3



# 18
This record from Alexandria via LeMat-Bulk describes CaPmZnAs after structural relaxation. The functional is PBE.

Lattice parameters (Å, degrees): 5.133 5.133 5.133 60.00 60.00 60.00
Positions (direct):
As: 0.500 0.500 0.500
Ca: 0.250 0.250 0.250
Zn: 0.000 0.000 0.000
Pm: 0.750 0.750 0.750

## Properties
E_form = -0.59 eV/atom
DOS at the Fermi energy = 3.3 states/eV/f.u.
VASP energy = -0.276 Ry per atom
ρ = 5.6 g/cm3



# 19
This record from Alexandria via LeMat-Bulk describes CaPm2ZrAs4 after structural relaxation. The functional is PBE.

Lattice parameters (Å, degrees): 4.128 7.203 7.100 109.14 90.00 90.00
Positions (direct):
Ca: 0.500 0.500 0.000
Pm: 0.500 0.000 0.500
Pm: 0.000 0.500 0.500
Zr: 0.000 0.000 0.000
As: 0.500 0.235 0.233
As: 0.500 0.765 0.767
As: 0.000 0.241 0.760
As: 0.000 0.759 0.240

## Properties
E_form = -1.31 eV/atom
DOS at the Fermi energy = 1.2 states/eV/f.u.
VASP energy = -0.451 Ry per atom
ρ = 6.0 g/cm3



# 20
This record from Alexandria via LeMat-Bulk describes Ca3Pm2ZrAs6 after structural relaxation. The functional is PBE.

Lattice parameters (Å, degrees): 7.199 7.199 7.325 99.47 99.47 120.05
Positions (direct):
Ca: 0.171 0.829 0.500
Ca: 0.829 0.171 0.500
Ca: 0.500 0.500 0.500
Pm: 0.334 0.666 0.000
Pm: 0.666 0.334 0.000
Zr: 0.000 0.000 0.000
As: 0.922 0.606 0.764
As: 0.765 0.765 0.238
As: 0.078 0.394 0.236
As: 0.606 0.922 0.764
As: 0.235 0.235 0.762
As: 0.394 0.078 0.236

## Properties
E_form = -1.18 eV/atom
DOS at the Fermi energy = 7.7 states/eV/f.u.
VASP energy = -0.405 Ry per atom
ρ = 5.1 g/cm3